# LiLuThCr PBE optimized geometry
data_LiLuThCr
_chemical_formula_sum 'Li4 Lu4 Th4 Cr4'
_cell_length_a 7.143
_cell_length_b 7.143
_cell_length_c 7.143
_cell_angle_alpha 90.00
_cell_angle_beta 90.00
_cell_angle_gamma 90.00
_symmetry_space_group_name_H-M 'F -4 3 m'
_symmetry_Int_Tables_number 216
_symmetry_space_group_name_Hall 'F -4 2 3'
loop_
_atom_site_label
_atom_site_fract_x
_atom_site_fract_y
_atom_site_fract_z
Li1 0.000 0.000 0.000
Lu1 0.250 0.250 0.250
Th1 0.250 0.250 0.750
Cr1 0.000 0.000 0.500
# * calculated volume: 364 Å³/cell
# * M_tot: 2.45 μB per formula unit
# * E_form: 0.21 eV per atom

# Ac2PaGa3O12 PBE optimized geometry
data_Ac2PaGa3O12
_chemical_formula_sum 'Ac6 Pa3 Ga9 O36'
_cell_length_a 6.9820
_cell_length_b 6.9820
_cell_length_c 16.6035
_cell_angle_alpha 90.00
_cell_angle_beta 90.00
_cell_angle_gamma 120.00
_symmetry_space_group_name_H-M 'R -3 m'
_symmetry_Int_Tables_number 166
_symmetry_space_group_name_Hall '-R 3 2"'
loop_
_atom_site_label
_atom_site_fract_x
_atom_site_fract_y
_atom_site_fract_z
Ac1 0.0000 0.0000 0.1086
Pa1 0.0000 0.0000 0.5000
Ga1 0.0000 0.5000 0.0000
O1 0.0344 0.5172 0.8746
O2 0.0609 0.5305 0.3013
# * uncorrected formation energy: -2.101 eV/atom
# * calculated volume: 701 Å³/cell
# * M_tot: 4.02 μB per formula unit

# BeOsRu PBE optimized geometry
data_BeOsRu
_chemical_formula_sum 'Be2 Os2 Ru2'
_cell_length_a 3.946
_cell_length_b 4.759
_cell_length_c 4.942
_cell_angle_alpha 97.01
_cell_angle_beta 113.51
_cell_angle_gamma 114.33
_symmetry_space_group_name_H-M 'P -1'
_symmetry_Int_Tables_number 2
_symmetry_space_group_name_Hall '-P 1'
loop_
_atom_site_label
_atom_site_fract_x
_atom_site_fract_y
_atom_site_fract_z
Be1 0.048 0.201 0.392
Os1 0.424 0.248 0.098
Ru1 0.246 0.709 0.285
# * calculated volume: 73 Å³/cell
# * M_tot: 0.00 μB per formula unit
# * E_form: -0.05 eV per atom